Material: Ca2Cd2In
Method: DFT, GGA-PBE
State: optimized geometry

Output
space group = I4/mmm (139)
DOS(E_F) = 0.79 states/eV/atom
crystal system = tetragonal
total magnetization = 0.0 μB/cell
DFT formation energy = -0.195 eV per atom
relative energy among the computed polymorphs = 149 meV per atom

Unit cell a=4.072 b=4.072 c=9.660 alpha=77.83 beta=77.83 gamma=90.00
Atoms (fractional coordinates):
Ca: 0.401 0.401 0.198
Ca: 0.599 0.599 0.802
Cd: 0.750 0.250 0.500
Cd: 0.250 0.750 0.500
In: 0.000 0.000 0.000



Material: Cs5Li3P3
Method: DFT, GGA-PBE
State: optimized geometry

Output
space group = P-62m (189)
DOS(E_F) = 0.81 states/eV/atom
crystal system = hexagonal
total magnetization = 0.7 μB/cell
DFT formation energy = -0.260 eV per atom

Unit cell a=11.040 b=11.040 c=4.761 alpha=90.00 beta=90.00 gamma=120.00
Site moments in Bohr magnetons follow the coordinates.
Atoms (fractional coordinates):
P: 0.000 0.365 0.500  0.09
P: 0.365 0.000 0.500  0.09
P: 0.635 0.635 0.500  0.09
Cs: 0.667 0.333 0.500  0.01
Cs: 0.730 0.000 0.500  0.00
Cs: 0.270 0.270 0.500  0.00
Cs: 0.000 0.730 0.500  0.00
Cs: 0.333 0.667 0.500  0.01
Li: 0.366 0.000 0.000  0.00
Li: 0.634 0.634 0.000  0.00
Li: 0.000 0.366 0.000  0.00



Material: TbTmPu2
Method: DFT, GGA-PBE
State: optimized geometry

Output
space group = P4/mmm (123)
DOS(E_F) = 3.58 states/eV/atom
crystal system = tetragonal
total magnetization = 12.7 μB/cell
DFT formation energy = 0.170 eV per atom
relative energy among the computed polymorphs = 3 meV per atom

Unit cell a=5.022 b=4.796 c=4.796 alpha=90.00 beta=90.00 gamma=90.00
Site moments in Bohr magnetons follow the coordinates.
Atoms (fractional coordinates):
Pu: 0.000 0.000 0.500  5.58
Pu: 0.000 0.500 0.000  5.58
Tm: 0.500 0.000 0.000  0.32
Tb: 0.500 0.500 0.500  0.28



Material: SnSb2PdBr
Method: DFT, GGA-PBE
State: optimized geometry

Output
space group = P4/mmm (123)
formation energy from raw total energies = 0.1822 eV/atom
DOS(E_F) = 1.37 states/eV/atom
crystal system = tetragonal
total magnetization = 0.2 μB/cell

Unit cell a=5.104 b=5.874 c=5.104 alpha=90.00 beta=90.00 gamma=90.00
Atoms (fractional coordinates):
Br: 0.500 0.500 0.500
Sb: 0.000 0.000 0.500
Sb: 0.500 0.000 0.000
Pd: 0.000 0.000 0.000
Sn: 0.000 0.500 0.000